Material: Sm5Hg2Pt
Method: DFT, GGA-PBE
State: optimized geometry

a = 5.823 Å, b = 7.097 Å, c = 12.720 Å
α = 90.00°, β = 90.00°, γ = 114.22°
Fractional positions:
Sm: 0.932 0.864 0.894
Sm: 0.932 0.864 0.606
Sm: 0.378 0.756 0.430
Sm: 0.378 0.756 0.070
Sm: 0.617 0.234 0.250
Sm: 0.383 0.766 0.750
Sm: 0.622 0.244 0.570
Sm: 0.622 0.244 0.930
Sm: 0.068 0.136 0.106
Sm: 0.068 0.136 0.394
Hg: 0.819 0.637 0.376
Hg: 0.819 0.637 0.124
Hg: 0.181 0.363 0.624
Hg: 0.181 0.363 0.876
Pt: 0.768 0.535 0.750
Pt: 0.232 0.465 0.250

Output
The total energy comes out at -4.0915 eV/atom. As for the symmetry: Cmcm, No. 63.

=====

Material: Tm2PdPt
Method: DFT, GGA-PBE
State: optimized geometry

a = 4.885 Å, b = 4.885 Å, c = 4.885 Å
α = 60.00°, β = 60.00°, γ = 60.00°
Fractional positions:
Tm: 0.750 0.750 0.750
Tm: 0.250 0.250 0.250
Pd: 0.500 0.500 0.500
Pt: 0.000 0.000 0.000

Output
The total energy comes out at -6.1776 eV/atom. As for the symmetry: Fm-3m, No. 225.

=====

Material: CaIn2SnTe4
Method: DFT, GGA-PBE
State: optimized geometry

a = 4.464 Å, b = 7.829 Å, c = 7.780 Å
α = 71.11°, β = 90.00°, γ = 90.00°
Fractional positions:
Ca: 0.000 0.500 0.500
In: 0.000 0.000 0.000
In: 0.500 0.000 0.500
Sn: 0.500 0.500 0.000
Te: 0.000 0.751 0.750
Te: 0.000 0.250 0.250
Te: 0.500 0.750 0.251
Te: 0.500 0.250 0.749

Output
The formation energy (no corrections) is -565 meV per atom. As for the symmetry: P2/m, No. 10.

=====

Material: CsCu4TeS2
Method: DFT, GGA-PBE
State: optimized geometry

a = 3.938 Å, b = 3.938 Å, c = 10.737 Å
α = 90.00°, β = 90.00°, γ = 90.00°
Fractional positions:
Cs: 0.000 0.000 0.500
Cu: 0.000 0.500 0.178
Cu: 0.500 0.000 0.822
Cu: 0.500 0.000 0.178
Cu: 0.000 0.500 0.822
Te: 0.000 0.000 0.000
S: 0.500 0.500 0.290
S: 0.500 0.500 0.710

Output
The formation energy (no corrections) is -395 meV per atom. As for the symmetry: P4/mmm, No. 123.

=====

Material: Tm5CdNi4
Method: DFT, GGA-PBE
State: optimized geometry

a = 3.360 Å, b = 3.360 Å, c = 17.507 Å
α = 90.00°, β = 90.00°, γ = 90.00°
Fractional positions:
Tm: 0.500 0.500 0.125
Tm: 0.500 0.500 0.312
Tm: 0.500 0.500 0.500
Tm: 0.500 0.500 0.688
Tm: 0.500 0.500 0.875
Cd: 0.000 0.000 0.000
Ni: 0.000 0.000 0.215
Ni: 0.000 0.000 0.406
Ni: 0.000 0.000 0.594
Ni: 0.000 0.000 0.785

Output
The total energy comes out at -5.0655 eV/atom. As for the symmetry: P4/mmm, No. 123.

=====

Material: InBiN
Method: DFT, GGA-PBE
State: optimized geometry

a = 3.537 Å, b = 9.647 Å, c = 24.168 Å
α = 9.74°, β = 90.00°, γ = 90.00°
Fractional positions:
In: 0.023 0.163 0.585
In: 0.523 0.121 0.087
Bi: 0.523 0.857 0.008
Bi: 0.023 0.427 0.664
N: 0.523 0.876 0.541
N: 0.023 0.408 0.130

Output
The formation energy (no corrections) is 428 meV per atom. As for the symmetry: P2_1/m, No. 11.

=====

Material: Ba2Na3Ag2
Method: DFT, GGA-PBE
State: optimized geometry

a = 4.519 Å, b = 4.828 Å, c = 12.545 Å
α = 101.09°, β = 90.00°, γ = 90.00°
Fractional positions:
Ba: 0.000 0.826 0.653
Ba: 0.000 0.174 0.347
Na: 0.500 0.575 0.149
Na: 0.500 0.425 0.851
Na: 0.000 0.000 0.000
Ag: 0.500 0.716 0.432
Ag: 0.500 0.284 0.568

Output
The total energy comes out at -2.0784 eV/atom. As for the symmetry: Cmmm, No. 65.

=====

Material: NaLaSiO4
Method: DFT, GGA-PBE
State: optimized geometry

a = 5.574 Å, b = 9.443 Å, c = 21.669 Å
α = 90.00°, β = 90.00°, γ = 90.00°
Fractional positions:
Na: 0.985 0.930 0.559
Na: 0.485 0.070 0.441
Na: 0.485 0.430 0.941
Na: 0.985 0.570 0.059
Na: 0.940 0.576 0.726
Na: 0.440 0.424 0.274
Na: 0.440 0.076 0.774
Na: 0.940 0.924 0.226
Na: 0.957 0.924 0.894
Na: 0.457 0.076 0.106
Na: 0.457 0.424 0.606
Na: 0.957 0.576 0.394
La: 0.490 0.698 0.500
La: 0.990 0.302 0.500
La: 0.990 0.198 0.000
La: 0.490 0.802 0.000
La: 0.431 0.802 0.666
La: 0.931 0.198 0.334
La: 0.931 0.302 0.834
La: 0.431 0.698 0.166
La: 0.446 0.701 0.833
La: 0.946 0.299 0.167
La: 0.946 0.201 0.667
La: 0.446 0.799 0.333
Si: 0.951 0.585 0.577
Si: 0.451 0.415 0.423
Si: 0.451 0.085 0.923
Si: 0.951 0.915 0.077
Si: 0.949 0.919 0.744
Si: 0.449 0.081 0.256
Si: 0.449 0.419 0.756
Si: 0.949 0.581 0.244
Si: 0.981 0.586 0.910
Si: 0.481 0.414 0.090
Si: 0.481 0.086 0.590
Si: 0.981 0.914 0.410
O: 0.883 0.560 0.504
O: 0.383 0.440 0.496
O: 0.383 0.060 0.996
O: 0.883 0.940 0.004
O: 0.010 0.429 0.943
O: 0.510 0.571 0.057
O: 0.510 0.929 0.557
O: 0.010 0.071 0.443
O: 0.197 0.695 0.930
O: 0.697 0.305 0.070
O: 0.697 0.195 0.570
O: 0.197 0.805 0.430
O: 0.177 0.696 0.584
O: 0.677 0.304 0.416
O: 0.677 0.196 0.916
O: 0.177 0.804 0.084
O: 0.702 0.651 0.608
O: 0.202 0.349 0.392
O: 0.202 0.151 0.892
O: 0.702 0.849 0.108
O: 0.013 0.938 0.670
O: 0.513 0.062 0.330
O: 0.513 0.438 0.830
O: 0.013 0.562 0.170
O: 0.727 0.805 0.754
O: 0.227 0.195 0.246
O: 0.227 0.305 0.746
O: 0.727 0.695 0.254
O: 0.879 0.076 0.773
O: 0.379 0.924 0.227
O: 0.379 0.576 0.727
O: 0.879 0.424 0.273
O: 0.200 0.860 0.775
O: 0.700 0.140 0.225
O: 0.700 0.360 0.725
O: 0.200 0.640 0.275
O: 0.013 0.561 0.835
O: 0.513 0.439 0.165
O: 0.513 0.061 0.665
O: 0.013 0.939 0.335
O: 0.018 0.430 0.607
O: 0.518 0.570 0.393
O: 0.518 0.930 0.893
O: 0.018 0.070 0.107
O: 0.717 0.655 0.925
O: 0.217 0.345 0.075
O: 0.217 0.155 0.575
O: 0.717 0.845 0.425

Output
The formation energy (no corrections) is -2925 meV per atom. As for the symmetry: Pna2_1, No. 33.